No. 1
Entry from Alexandria via LeMat-Bulk: an optimized crystal structure of TmTcOs (PBE).

abc: 5.368 5.368 8.720
angles: 90.00 90.00 121.03
Fractional positions:
Tm 0.666 0.334 0.686
Tm 0.335 0.665 0.818
Tm 0.335 0.665 0.182
Tm 0.666 0.334 0.314
Tc 0.999 0.001 0.751
Tc 0.999 0.001 0.249
Tc 0.172 0.344 0.500
Tc 0.656 0.828 0.500
Os 0.173 0.827 0.500
Os 0.830 0.656 0.000
Os 0.344 0.170 0.000
Os 0.826 0.174 0.000

Summary:
* symmetry: Amm2
* E above lowest polymorph: 0.0 meV per atom
* calculated total energy: -108.114 eV/cell
* DFT formation energy: -320.4 meV per atom

---

No. 2
Entry from Alexandria via LeMat-Bulk: an optimized crystal structure of Tm8Tc2Os (PBE).

abc: 5.838 7.555 7.555
angles: 114.35 101.92 101.92
Fractional positions:
Tm 0.571 0.340 0.085
Tm 0.571 0.085 0.340
Tm 0.183 0.361 0.361
Tm 0.972 0.191 0.776
Tm 0.972 0.776 0.191
Tm 0.797 0.645 0.645
Tm 0.365 0.924 0.659
Tm 0.365 0.659 0.924
Tc 0.526 0.717 0.336
Tc 0.526 0.336 0.717
Os 0.151 0.000 0.000

Summary:
* symmetry: Cm
* calculated total energy: -68.755 eV/cell
* DFT formation energy: -92.8 meV per atom